LiCa2Ge4Ir3 | Alexandria via LeMat-Bulk | PBE | relaxed; formation energy = -0.580 eV/atom; theoretical density = 8.51 g/cm³
1.0
-1.812 1.259 -3.760
-3.955 -0.874 1.613
-0.646 9.174 3.383
Ca Li Ge Ir
2 1 4 3
Cartesian
-1.066 2.904 -1.041
-2.463 6.462 3.351
-3.207 4.780 0.618
0.000 0.000 0.000
-1.309 6.349 0.229
-2.221 3.018 2.081
-2.883 0.193 -1.073
-1.470 8.631 1.071
-2.060 0.736 1.239
-0.323 4.587 1.692

CaMg2GeIr | Alexandria via LeMat-Bulk | PBE | relaxed; formation energy = -0.253 eV/atom; theoretical density = 4.86 g/cm³
1.0
-0.975 4.907 -0.641
-2.921 -1.098 -3.963
-3.761 -0.372 2.876
Ca Mg Ge Ir
1 2 1 1
Cartesian
-3.829 1.719 -0.864
-1.461 -0.549 -1.981
-0.488 2.454 -0.320
-1.881 -0.186 1.438
0.000 0.000 0.000

Ca2MgGe4Ir3 | Alexandria via LeMat-Bulk | PBE | relaxed; formation energy = -0.538 eV/atom; theoretical density = 8.43 g/cm³
1.0
-1.900 -3.465 1.562
1.981 0.587 3.713
-8.087 5.955 3.373
Ge Ca Ir Mg
4 2 3 1
Cartesian
0.000 0.000 0.000
-6.159 2.103 2.954
-1.887 2.413 3.057
0.041 -1.439 2.638
-5.148 4.814 4.417
-2.899 -0.298 1.594
-0.011 1.031 2.275
-4.044 2.978 1.687
-8.036 3.485 3.737
-4.003 1.539 4.324

Question: Among the records above, which one has the highest theoretical density?
Answer: LiCa2Ge4Ir3